# 1
Density functional theory data (PBE) for crystalline Tb3Zn2C at its relaxed geometry.

Computed properties:
D(E_F), states/eV/f.u.: 3.705
Formation energy from the elements, eV/atom: -0.235
Total moment, μB per formula unit: 0.0

a b c (Å): 6.936 6.936 6.521
angles (deg): 90.00 90.00 120.00
Positions (direct):
Tb  0.311  0.155  0.750
Tb  0.155  0.845  0.250
Tb  0.845  0.155  0.750
Tb  0.845  0.689  0.750
Tb  0.155  0.311  0.250
Tb  0.689  0.845  0.250
Zn  0.333  0.667  0.572
Zn  0.333  0.667  0.928
Zn  0.667  0.333  0.428
Zn  0.667  0.333  0.072
C  0.000  0.000  0.000
C  0.000  0.000  0.500

***

# 2
Density functional theory data (PBE) for crystalline Tb4ZnC at its relaxed geometry.

Computed properties:
D(E_F), states/eV/f.u.: 7.317
Formation energy from the elements, eV/atom: -0.114
Total moment, μB per formula unit: 0.0

a b c (Å): 6.211 7.326 8.082
angles (deg): 110.32 105.03 106.01
Positions (direct):
Tb  0.706  0.061  0.402
Tb  0.421  0.727  0.904
Tb  0.195  0.340  0.402
Tb  0.983  0.177  0.904
Tb  0.579  0.273  0.096
Tb  0.294  0.939  0.598
Tb  0.017  0.823  0.096
Tb  0.805  0.660  0.598
Zn  0.631  0.381  0.762
Zn  0.369  0.619  0.238
C  0.181  0.931  0.862
C  0.819  0.069  0.138

***

# 3
Density functional theory data (PBE) for crystalline Tb3ZnC at its relaxed geometry.

Computed properties:
D(E_F), states/eV/f.u.: 6.609
Formation energy from the elements, eV/atom: -0.203
Total moment, μB per formula unit: 0.3

a b c (Å): 4.907 4.907 4.907
angles (deg): 90.00 90.00 90.00
Last column: magnetic moment on the atom in μB.
Positions (direct):
Tb  0.000  0.500  0.000  0.05
Tb  0.000  0.000  0.500  0.05
Tb  0.500  0.000  0.000  0.05
Zn  0.500  0.500  0.500  0.02
C  0.000  0.000  0.000  -0.01

***

# 4
Density functional theory data (PBE) for crystalline Tb3ZnC at its relaxed geometry.

Computed properties:
D(E_F), states/eV/f.u.: 3.437
Formation energy from the elements, eV/atom: -0.239
Total moment, μB per formula unit: 0.0

a b c (Å): 5.126 6.252 8.643
angles (deg): 64.31 72.75 65.80
Positions (direct):
Tb  0.638  0.645  0.080
Tb  0.362  0.355  0.920
Tb  0.161  0.325  0.353
Tb  0.839  0.675  0.647
Tb  0.097  0.014  0.792
Tb  0.903  0.986  0.208
Zn  0.408  0.743  0.440
Zn  0.592  0.257  0.560
C  0.132  0.663  0.074
C  0.868  0.337  0.926